Record 1
## La8PrZn2 (GGA-PBE)

Data for La8PrZn2 after structural relaxation.

The structure in POSCAR format:
```
La8PrZn2
1.0
-2.947 4.252 1.776
-3.453 0.863 -7.793
-2.855 -7.318 4.360
Pr La Zn
1 8 2
direct
0.500 0.000 0.000
0.946 0.262 0.892
0.611 0.475 0.222
0.054 0.738 0.108
0.156 0.221 0.312
0.844 0.779 0.688
0.309 0.032 0.618
0.389 0.525 0.778
0.691 0.968 0.382
0.781 0.369 0.561
0.219 0.631 0.439
```

Output
- energy (eV per atom) = -4.32
- DOS at the Fermi energy (states/eV/cell) = 16.8
- space-group type = C2/m
- M_tot (μB per cell) = 0.00

***

Record 2
## Pu2TlHg (GGA-PBE)

Data for Pu2TlHg after structural relaxation.

The structure in POSCAR format:
```
Pu2TlHg
1.0
-2.764 -0.698 2.810
1.554 -3.636 0.625
4.125 2.571 4.696
Pu Tl Hg
2 1 1
direct
0.000 0.000 0.756
0.000 0.000 0.244
0.500 0.500 0.500
0.500 0.500 0.000
```

Output
- energy (eV per atom) = -7.86
- DOS at the Fermi energy (states/eV/cell) = 16.2
- space-group type = P4/mmm
- M_tot (μB per cell) = 12.13

***

Record 3
## SmAgSb (GGA-PBE)

Data for SmAgSb after structural relaxation.

The structure in POSCAR format:
```
SmAgSb
1.0
4.175 0.000 0.000
0.000 4.175 0.000
-2.087 -2.087 4.549
Sm Sb Ag
1 1 1
direct
0.290 0.290 0.579
0.939 0.939 0.878
0.621 0.621 0.243
```

Output
- DOS at the Fermi energy (states/eV/cell) = 1.2
- formation energy from raw total energies (eV/atom) = -0.43
- space-group type = I4mm
- M_tot (μB per cell) = 0.00

***

Record 4
## K3Y3AsO8 (GGA-PBE)

Data for K3Y3AsO8 after structural relaxation.

The structure in POSCAR format:
```
K3Y3AsO8
1.0
6.779 -0.001 0.001
-3.391 5.873 -0.022
0.001 -3.893 6.324
K Y O As
3 3 8 1
direct
0.000 0.500 0.000
0.000 0.000 0.000
0.500 0.500 0.000
0.500 0.500 0.500
0.500 0.000 0.500
0.000 0.500 0.500
0.207 0.414 0.672
0.728 0.455 0.683
0.207 0.965 0.672
0.758 0.965 0.672
0.272 0.545 0.317
0.793 0.586 0.328
0.242 0.035 0.328
0.793 0.035 0.328
0.000 0.000 0.500
```

Output
- DOS at the Fermi energy (states/eV/cell) = 1.9
- formation energy from raw total energies (eV/atom) = -2.40
- space-group type = R-3m
- M_tot (μB per cell) = 0.00